Record 1
Here is an optimized crystal structure of Al5Au4 from Alexandria via LeMat-Bulk. Energies are from PBE.

For the formation energy, the calculation gives -0.214 eV per atom. The calculation puts the density at 9.93 g/cm3. Its final energy is -3.750 eV/atom. As for the volume: 17.1 Å³/atom. For the energy above the most stable polymorph in this dataset, the calculation gives 3 meV/atom.

The structure belongs to space group P6_3/mcm (No. 193); the cell edges are 7.7815, 7.7815 and 5.8839 Å and the angles 90.00°, 90.00° and 120.00°. The distinct sites, in fractional coordinates, are Al at (0.0000, 0.2929, 0.2500), Al at (0.3333, 0.6667, 0.0000), Au at (0.0000, 0.0000, 0.0000) and Au at (0.0000, 0.3792, 0.7500).


Record 2
Here is an optimized crystal structure of AlAu7 from Alexandria via LeMat-Bulk. Energies are from PBE.

For the formation energy, the calculation gives -0.098 eV per atom. The calculation puts the density at 16.43 g/cm3. Its final energy is -3.433 eV/atom. As for the volume: 17.8 Å³/atom.

The structure belongs to space group Fm-3m (No. 225); the cell edges are 8.284, 8.284 and 8.284 Å and the angles 90.00°, 90.00° and 90.00°. The distinct sites, in fractional coordinates, are Al at (0.000, 0.000, 0.000), Au at (0.000, 0.000, 0.500) and Au at (0.000, 0.250, 0.250).


Record 3
Here is an optimized crystal structure of AlAu4 from Alexandria via LeMat-Bulk. Energies are from PBE.

For the formation energy, the calculation gives 0.428 eV per atom. The calculation puts the density at 12.29 g/cm3. Its final energy is -2.942 eV/atom. As for the volume: 22.0 Å³/atom. For the energy above the most stable polymorph in this dataset, the calculation gives 638 meV/atom.

The structure belongs to space group Pm-3m (No. 221); the cell edges are 4.793, 4.793 and 4.793 Å and the angles 90.00°, 90.00° and 90.00°. The distinct sites, in fractional coordinates, are Al at (0.000, 0.000, 0.000), Au at (0.000, 0.000, 0.500) and Au at (0.500, 0.500, 0.500).


Let's list N(E_F) in order: 3.981 7.776 2.588 states/eV/cell.